Material: LiTlRh
Method: DFT, GGA-PBEsol
State: relaxed

```
LiTlRh
1.0
2.971 0.000 0.000
0.000 4.288 0.000
0.000 -2.144 3.713
Tl Rh Li
1 1 1
Direct
0.289 0.667 0.333
0.734 0.333 0.667
0.977 0.000 0.000
```

Values from the calculation:
Relative energy among the computed polymorphs = 0.03 eV per formula unit
Space-group type = P3m1
Mass density = 11.0 g cm⁻³
Calculated formation energy = -28 kJ/mol of formula units
Final energy = -4.340 eV/atom